This record from the Alexandria database describes a relaxed CeIn2Hg2 crystal. The functional is PBE-GGA.

a b c (Å): 5.029 5.029 7.084
angles (deg): 69.21 69.21 60.00
Positions (direct):
Ce 0.000 0.000 0.000
In 0.576 0.576 0.273
In 0.424 0.424 0.727
Hg 0.249 0.249 0.252
Hg 0.751 0.751 0.748

***

This record from the Alexandria database describes a relaxed Er4AlIn crystal. The functional is PBE-GGA.

Polymorph energy (0 for the lowest one), kJ per mole of atoms: 21.5

a b c (Å): 5.266 6.467 11.195
angles (deg): 90.00 103.60 90.00
Positions (direct):
Er 0.863 0.320 0.725
Er 0.137 0.820 0.275
Er 0.434 0.825 0.867
Er 0.566 0.325 0.133
Er 0.705 0.564 0.409
Er 0.295 0.064 0.591
Er 0.702 0.079 0.404
Er 0.298 0.579 0.596
Al 0.833 0.821 0.666
Al 0.167 0.321 0.334
In 0.573 0.824 0.145
In 0.427 0.324 0.855

***

| no. | energy relative to the elements (eV per atom) | volume (Å³/atom) | calculated total energy (eV/cell) |
| --- | --- | --- | --- |
| 1 | -0.17 | 28.3 | -12.9 |
| 2 | -0.06 | 30.9 | -50.1 |